No. 1
Here is crystalline PuThNiOs at its relaxed geometry from the Alexandria database. Energies are from PBE.

- symmetry = No. 216
- density of states at the Fermi level (states/eV/atom) = 2.5918

Cell: 4.8963 4.8963 4.8963 Å, 60.00 60.00 60.00°
Closest atoms and distances in Å follow each position.
Atoms (fractional coordinates):
Ni1 0.5000 0.5000 0.5000  4 Pu 3.00, 4 Th 3.00
Os1 0.0000 0.0000 0.0000  4 Th 3.00, 4 Pu 3.00
Th1 0.7500 0.7500 0.7500  4 Ni 3.00, 4 Os 3.00
Pu1 0.2500 0.2500 0.2500  4 Os 3.00, 4 Ni 3.00



No. 2
Here is crystalline TmPuNiOs at its relaxed geometry from the Alexandria database. Energies are from PBE.

- symmetry = No. 216
- density of states at the Fermi level (states/eV/atom) = 2.0830

Cell: 4.7532 4.7532 4.7532 Å, 60.00 60.00 60.00°
Closest atoms and distances in Å follow each position.
Atoms (fractional coordinates):
Ni1 0.2500 0.2500 0.2500  4 Tm 2.91, 4 Pu 2.91
Tm1 0.5000 0.5000 0.5000  4 Ni 2.91, 4 Os 2.91
Os1 0.7500 0.7500 0.7500  4 Pu 2.91, 4 Tm 2.91
Pu1 0.0000 0.0000 0.0000  4 Os 2.91, 4 Ni 2.91



Number 1: ΔH_f (0 K) -132 meV/atom, spin magnetization 1.351 μB/atom. Number 2: ΔH_f (0 K) -181 meV/atom, spin magnetization 1.133 μB/atom.